Entry from the Alexandria database: Pr4Te3Pd after structural relaxation (GGA-PBE).

Properties
Space-group type: Cmmm, No. 65
ΔE_f (raw): -9.97 eV/f.u.
Raw total energy: -5.463 eV per atom
Total magnetization: 0.00 Bohr magnetons per cell

abc: 4.3952 7.8233 7.8233
angles: 109.01 90.00 90.00
Atoms (fractional coordinates):
Pr1 0.0000 0.2255 0.2255
Pr2 0.0000 0.7745 0.7745
Pr3 0.5000 0.7547 0.2453
Pr4 0.5000 0.2453 0.7547
Te1 0.0000 0.5000 0.0000
Te2 0.5000 0.5000 0.5000
Te3 0.0000 0.0000 0.5000
Pd1 0.5000 0.0000 0.0000